DFT (PBE-GGA) results for a relaxed CeAsO4F crystal. Values from VASP.

Values from the calculation:
**M_tot**: 0.00 Bohr magnetons per cell
**Formation energy without anion corrections**: -2386 meV per atom

```
&SYSTEM
  ibrav = 0, nat = 28, ntyp = 4
/
ATOMIC_SPECIES
As 74.92 As.upf
Ce 140.12 Ce.upf
O 16.00 O.upf
F 19.00 F.upf
ATOMIC_POSITIONS crystal
As 0.1751 0.2500 0.1016
As 0.3249 0.2500 0.6016
As 0.6751 0.7500 0.3984
As 0.8249 0.7500 0.8984
Ce 0.8474 0.2500 0.4509
Ce 0.6526 0.2500 0.9509
Ce 0.3474 0.7500 0.0491
Ce 0.1526 0.7500 0.5491
O 0.4026 0.2500 0.7855
O 0.5974 0.7500 0.2145
O 0.9026 0.7500 0.7145
O 0.9829 0.2500 0.9761
O 0.3349 0.0660 0.0705
O 0.0171 0.7500 0.0239
O 0.1651 0.4340 0.5705
O 0.4829 0.7500 0.5239
O 0.6651 0.5660 0.9295
O 0.6651 0.9340 0.9295
O 0.1651 0.0660 0.5705
O 0.5171 0.2500 0.4761
O 0.8349 0.5660 0.4295
O 0.8349 0.9340 0.4295
O 0.0974 0.2500 0.2855
O 0.3349 0.4340 0.0705
F 0.7980 0.2500 0.7043
F 0.2020 0.7500 0.2957
F 0.2980 0.7500 0.7957
F 0.7020 0.2500 0.2043
CELL_PARAMETERS angstrom
6.7453 0.0000 0.0000
0.0000 7.1954 0.0000
0.0000 0.0000 8.8102
```



DFT (PBE-GGA) results for a relaxed HfPaTcRu crystal. Values from VASP.

Values from the calculation:
**ΔE_f**: -0.43 eV per atom
**M_tot**: 0.00 Bohr magnetons per cell

```
&SYSTEM
  ibrav = 0, nat = 4, ntyp = 4
/
ATOMIC_SPECIES
Pa 231.04 Pa.upf
Tc 98.00 Tc.upf
Hf 178.49 Hf.upf
Ru 101.07 Ru.upf
ATOMIC_POSITIONS crystal
Pa 0.5000 0.5000 0.5000
Tc 0.2500 0.2500 0.2500
Hf 0.0000 0.0000 0.0000
Ru 0.7500 0.7500 0.7500
CELL_PARAMETERS angstrom
-3.4105 -3.2321 0.6139
-1.5043 -2.5845 -3.6759
1.0413 -4.6169 -0.2343
```



DFT (PBE-GGA) results for a relaxed Ac2TbBi3 crystal. Values from VASP.

Values from the calculation:
**ΔE_f**: -0.94 eV per atom
**M_tot**: 0.00 Bohr magnetons per cell

```
&SYSTEM
  ibrav = 0, nat = 12, ntyp = 3
/
ATOMIC_SPECIES
Ac 227.00 Ac.upf
Bi 208.98 Bi.upf
Tb 158.93 Tb.upf
ATOMIC_POSITIONS crystal
Ac 0.8333 0.1667 0.5000
Ac 0.4963 0.5037 0.5000
Ac 0.1704 0.8296 0.5000
Ac 0.3333 0.6667 0.0000
Bi 0.9091 0.5875 0.7633
Bi 0.0650 0.3983 0.2323
Bi 0.4125 0.0909 0.2367
Bi 0.6017 0.9350 0.7677
Bi 0.7576 0.7459 0.2367
Bi 0.2541 0.2424 0.7633
Tb 0.0015 0.9985 0.0000
Tb 0.6652 0.3348 0.0000
CELL_PARAMETERS angstrom
8.1252 -0.0295 -1.3652
-4.3815 6.8425 -1.3649
-0.0141 -0.0252 8.2345
```



DFT (PBE-GGA) results for a relaxed Cd6Ag2Pd crystal. Values from VASP.

Values from the calculation:
**ΔE_f**: -0.04 eV per atom
**Distance to the lowest polymorph of the same formula**: 0.063 eV per atom
**M_tot**: 0.00 Bohr magnetons per cell

```
&SYSTEM
  ibrav = 0, nat = 9, ntyp = 3
/
ATOMIC_SPECIES
Cd 112.41 Cd.upf
Ag 107.87 Ag.upf
Pd 106.42 Pd.upf
ATOMIC_POSITIONS crystal
Cd 0.1663 0.8944 0.3240
Cd 0.8337 0.1056 0.6760
Cd 0.8337 0.5703 0.6760
Cd 0.5000 0.2151 0.0000
Cd 0.5000 0.7849 0.0000
Cd 0.1663 0.4297 0.3240
Ag 0.3303 0.3349 0.6698
Ag 0.6697 0.6651 0.3302
Pd 0.0000 0.0000 0.0000
CELL_PARAMETERS angstrom
-4.4601 -1.4408 -0.6179
1.4904 -6.0303 3.3033
0.0891 6.4157 4.1797
```



DFT (PBE-GGA) results for a relaxed Tm8Mg2Sn crystal. Values from VASP.

Values from the calculation:
**ΔE_f**: 0.03 eV per atom
**M_tot**: 0.00 Bohr magnetons per cell

```
&SYSTEM
  ibrav = 0, nat = 11, ntyp = 3
/
ATOMIC_SPECIES
Sn 118.71 Sn.upf
Mg 24.30 Mg.upf
Tm 168.93 Tm.upf
ATOMIC_POSITIONS crystal
Sn 0.5000 0.0000 0.0000
Mg 0.0000 0.3054 0.6946
Mg 0.0000 0.6946 0.3054
Tm 0.5000 0.2130 0.7870
Tm 0.6970 0.3986 0.3986
Tm 0.3030 0.6014 0.6014
Tm 0.8770 0.9033 0.6782
Tm 0.1230 0.3218 0.0967
Tm 0.8770 0.6782 0.9033
Tm 0.1230 0.0967 0.3218
Tm 0.5000 0.7870 0.2130
CELL_PARAMETERS angstrom
-2.4430 4.7070 -1.2435
-6.5507 -4.7075 2.9621
6.1653 2.5415 5.4199
```



DFT (PBE-GGA) results for a relaxed Ge3Mo2 crystal. Values from VASP.

Values from the calculation:
**ΔE_f**: 0.20 eV per atom
**Distance to the lowest polymorph of the same formula**: 0.189 eV per atom
**M_tot**: 0.00 Bohr magnetons per cell

```
&SYSTEM
  ibrav = 0, nat = 10, ntyp = 2
/
ATOMIC_SPECIES
Mo 95.94 Mo.upf
Ge 72.64 Ge.upf
ATOMIC_POSITIONS crystal
Mo 0.3824 0.1176 0.4992
Mo 0.8824 0.6176 0.4992
Mo 0.1176 0.3824 0.9992
Mo 0.6176 0.8824 0.9992
Ge 0.6038 0.3962 0.1553
Ge 0.8963 0.1037 0.3432
Ge 0.1037 0.8963 0.8432
Ge 0.7499 0.2501 0.7493
Ge 0.2501 0.7499 0.2493
Ge 0.3962 0.6038 0.6553
CELL_PARAMETERS angstrom
-1.6207 -4.4123 2.2160
5.1171 0.8662 -0.2661
-0.2280 3.3361 6.4758
```



DFT (PBE-GGA) results for a relaxed Na4Ti3CrSe8 crystal. Values from VASP.

Values from the calculation:
**M_tot**: 6.02 Bohr magnetons per cell
**Formation energy without anion corrections**: -1072 meV per atom

```
&SYSTEM
  ibrav = 0, nat = 16, ntyp = 4
/
ATOMIC_SPECIES
Ti 47.87 Ti.upf
Na 22.99 Na.upf
Se 78.96 Se.upf
Cr 52.00 Cr.upf
ATOMIC_POSITIONS crystal
Ti 0.0000 0.5000 0.5000
Ti 0.5000 0.5000 0.0000
Ti 0.5000 0.5000 0.5000
Na 0.0000 0.0000 0.0000
Na 0.5000 0.0000 0.5000
Na 0.5000 0.0000 0.0000
Na 0.0000 0.0000 0.5000
Se 0.7389 0.7074 0.9733
Se 0.7656 0.2926 0.0267
Se 0.2611 0.2926 0.0267
Se 0.2620 0.2864 0.5241
Se 0.7380 0.7136 0.4759
Se 0.2344 0.7074 0.9733
Se 0.2344 0.7074 0.4689
Se 0.7656 0.2926 0.5311
Cr 0.0000 0.5000 0.0000
CELL_PARAMETERS angstrom
-2.3817 2.5038 -6.7427
-4.4393 -6.8360 -0.9703
-1.2451 4.1299 6.2302
```



DFT (PBE-GGA) results for a relaxed ThSc crystal. Values from VASP.

Values from the calculation:
**ΔE_f**: 0.06 eV per atom
**Distance to the lowest polymorph of the same formula**: 0.000 eV per atom
**M_tot**: 0.00 Bohr magnetons per cell

```
&SYSTEM
  ibrav = 0, nat = 2, ntyp = 2
/
ATOMIC_SPECIES
Th 232.04 Th.upf
Sc 44.96 Sc.upf
ATOMIC_POSITIONS crystal
Th 0.0000 0.0000 0.0000
Sc 0.5000 0.5000 0.5000
CELL_PARAMETERS angstrom
-0.2547 -0.8268 -3.7390
-2.8915 -2.4152 0.7310
-2.5106 2.8655 -0.4626
```



DFT (PBE-GGA) results for a relaxed TcW2Br crystal. Values from VASP.

Values from the calculation:
**Distance to the lowest polymorph of the same formula**: 0.646 eV per atom
**M_tot**: 0.00 Bohr magnetons per cell
**Formation energy without anion corrections**: 1166 meV per atom

```
&SYSTEM
  ibrav = 0, nat = 4, ntyp = 3
/
ATOMIC_SPECIES
W 183.84 W.upf
Br 79.90 Br.upf
Tc 98.00 Tc.upf
ATOMIC_POSITIONS crystal
W 0.2500 0.2500 0.2500
W 0.0000 0.0000 0.0000
Br 0.5000 0.5000 0.5000
Tc 0.7500 0.7500 0.7500
CELL_PARAMETERS angstrom
4.5312 0.0000 0.0000
2.2656 3.9241 0.0000
2.2656 1.3080 3.6997
```



Look up the M_tot of the first one. 0.00 Bohr magnetons per cell